# PBE PCl2, relaxed
data_PCl2
_chemical_formula_sum 'P2 Cl4'
_symmetry_space_group_name_H-M 'P 1'
_symmetry_Int_Tables_number 1
_cell_length_a 6.867
_cell_length_b 6.867
_cell_length_c 8.261
_cell_angle_alpha 60.92
_cell_angle_beta 60.92
_cell_angle_gamma 32.95
loop_
_symmetry_equiv_pos_as_xyz
'x,y,z'
loop_
_atom_site_label
_atom_site_fract_x
_atom_site_fract_y
_atom_site_fract_z
P1 0.728 0.728 0.103
P2 0.272 0.272 0.897
Cl1 0.449 0.449 0.793
Cl2 0.230 0.230 0.291
Cl3 0.770 0.770 0.709
Cl4 0.551 0.551 0.207
# Uncorrected formation energy   -0.296 eV per atom
# Volume   182.6 Å³ per cell
# Density of states at the Fermi level   0.66 states/eV per atom

=====

# PBE InGaHgPb, relaxed
data_InGaHgPb
_chemical_formula_sum 'In1 Ga1 Hg1 Pb1'
_symmetry_space_group_name_H-M 'P 1'
_symmetry_Int_Tables_number 1
_cell_length_a 3.411
_cell_length_b 3.411
_cell_length_c 8.870
_cell_angle_alpha 90.00
_cell_angle_beta 90.00
_cell_angle_gamma 90.00
loop_
_symmetry_equiv_pos_as_xyz
'x,y,z'
loop_
_atom_site_label
_atom_site_fract_x
_atom_site_fract_y
_atom_site_fract_z
In1 0.500 0.500 0.337
Ga1 0.000 0.000 0.561
Hg1 0.000 0.000 0.084
Pb1 0.500 0.500 0.803
# Volume   103.2 Å³ per cell
# Energy relative to the lowest polymorph listed for this composition   0.000 eV per formula unit
# Density of states at the Fermi level   0.36 states/eV per atom
# Formation enthalpy at 0 K   3.7 kJ/mol of atoms

=====

# PBE FeTcBr, relaxed
data_FeTcBr
_chemical_formula_sum 'Fe1 Tc1 Br1'
_symmetry_space_group_name_H-M 'P 1'
_symmetry_Int_Tables_number 1
_cell_length_a 3.133
_cell_length_b 3.133
_cell_length_c 5.922
_cell_angle_alpha 90.00
_cell_angle_beta 90.00
_cell_angle_gamma 120.00
loop_
_symmetry_equiv_pos_as_xyz
'x,y,z'
loop_
_atom_site_label
_atom_site_fract_x
_atom_site_fract_y
_atom_site_fract_z
Br1 0.000 0.000 0.999
Fe1 0.667 0.333 0.362
Tc1 0.333 0.667 0.639
# Uncorrected formation energy   0.574 eV per atom
# Volume   50.3 Å³ per cell
# Energy relative to the lowest polymorph listed for this composition   0.000 eV per formula unit
# Density of states at the Fermi level   0.85 states/eV per atom

=====

Copy entry 2 word for word.
# PBE InGaHgPb, relaxed
data_InGaHgPb
_chemical_formula_sum 'In1 Ga1 Hg1 Pb1'
_symmetry_space_group_name_H-M 'P 1'
_symmetry_Int_Tables_number 1
_cell_length_a 3.411
_cell_length_b 3.411
_cell_length_c 8.870
_cell_angle_alpha 90.00
_cell_angle_beta 90.00
_cell_angle_gamma 90.00
loop_
_symmetry_equiv_pos_as_xyz
'x,y,z'
loop_
_atom_site_label
_atom_site_fract_x
_atom_site_fract_y
_atom_site_fract_z
In1 0.500 0.500 0.337
Ga1 0.000 0.000 0.561
Hg1 0.000 0.000 0.084
Pb1 0.500 0.500 0.803
# Volume   103.2 Å³ per cell
# Energy relative to the lowest polymorph listed for this composition   0.000 eV per formula unit
# Density of states at the Fermi level   0.36 states/eV per atom
# Formation enthalpy at 0 K   3.7 kJ/mol of atoms

=====

Question: Which of these has the lowest density of states at the Fermi level?
Answer: InGaHgPb

=====

Question: Which formula does entry 3 have?
Answer: FeTcBr

=====

Question: Among the records above, which one has the highest volume?
Answer: PCl2